Entry 1:
Nd8SiNi3Br4 | the Alexandria database | PBE-GGA | optimized geometry; E = -5.051 eV/atom; total moment = 0.0 μB per formula unit; density of states at the Fermi level = 13.04 states/eV/cell; space-group type = No. 166
1.0
4.1339 2.3867 7.6077
-4.1339 2.3867 7.6077
0.0000 -4.7734 7.6077
Nd Si Ni Br
8 1 3 4
Cartesian
-2.1230 -1.2257 12.9612
0.0000 0.0000 5.2751
0.0000 -2.4515 9.8619
-2.1230 1.2257 9.8619
2.1230 -1.2257 12.9612
0.0000 2.4515 12.9612
0.0000 0.0000 17.5480
2.1230 1.2257 9.8619
0.0000 0.0000 11.4116
-4.1339 0.0000 11.4116
-2.0670 1.1934 3.8038
2.0670 1.1934 3.8039
0.0000 0.0000 0.0000
-2.0670 -1.1934 7.6077
-2.0670 1.1934 15.2154
0.0000 2.3867 7.6077

***

Entry 2:
Tb4DyRh2 | the Alexandria database | PBE-GGA | optimized geometry; ΔH_f (0 K) = -44.7 kJ/mol of atoms; total moment = 0.0 μB per formula unit; density of states at the Fermi level = 16.12 states/eV/cell; space-group type = No. 11
1.0
7.8593 0.0000 0.0000
0.0000 6.3986 0.0000
-3.0632 0.0000 7.2589
Tb Dy Rh
8 2 4
Cartesian
-1.0351 1.5997 2.7732
0.9161 4.7990 2.4371
0.8938 0.0197 5.5408
0.8938 3.1796 5.5408
3.9023 3.2190 1.7181
3.9023 6.3789 1.7181
3.8800 1.5997 4.8218
5.8312 4.7990 4.4858
1.1534 1.5997 0.2053
3.6427 4.7990 7.0536
-1.0737 4.7990 7.1856
1.6770 1.5997 2.9717
3.1192 4.7990 4.2872
5.8698 1.5997 0.0733

***

Entry 3:
Th6P2SeS3 | the Alexandria database | PBE-GGA | optimized geometry; E = -7.650 eV/atom; total moment = 0.0 μB per formula unit; density of states at the Fermi level = 7.64 states/eV/cell; space-group type = No. 12
1.0
8.9262 -2.0640 0.0000
8.9262 2.0640 0.0000
-1.7911 0.0000 7.9596
Th P Se S
6 2 1 3
Cartesian
-0.4481 0.0000 2.0821
4.2408 0.0000 7.2647
5.1885 0.0000 3.3338
10.8727 0.0000 4.6258
11.8205 0.0000 0.6949
16.5094 0.0000 5.8775
2.3836 0.0000 2.6463
13.6777 0.0000 5.3133
8.9262 0.0000 0.0000
1.4576 0.0000 6.6278
8.0306 0.0000 3.9798
14.6037 0.0000 1.3318

***

Entry 4:
K2LaBr | the Alexandria database | PBE-GGA | optimized geometry; total moment = 3.1 μB per formula unit; density of states at the Fermi level = 32.19 states/eV/cell; polymorph energy (0 for the lowest one) = 0.698 eV/atom; space-group type = No. 225
1.0
9.2150 0.0000 0.0000
0.0000 9.2150 0.0000
0.0000 0.0000 9.2150
K La Br
8 4 4
Cartesian
2.3038 2.3038 2.3038
2.3038 2.3038 6.9113
2.3038 6.9113 2.3038
2.3038 6.9113 6.9113
6.9113 2.3038 2.3038
6.9113 2.3038 6.9113
6.9113 6.9113 2.3038
6.9113 6.9113 6.9113
0.0000 0.0000 0.0000
0.0000 4.6075 4.6075
4.6075 0.0000 4.6075
4.6075 4.6075 0.0000
0.0000 0.0000 4.6075
0.0000 4.6075 0.0000
4.6075 0.0000 0.0000
4.6075 4.6075 4.6075

***

Entry 5:
Y3Lu | the Alexandria database | PBE-GGA | optimized geometry; ΔH_f (0 K) = 12.4 kJ/mol of atoms; total moment = 0.1 μB per formula unit; density of states at the Fermi level = 41.52 states/eV/cell; polymorph energy (0 for the lowest one) = 0.129 eV/atom; space-group type = No. 225
1.0
8.0049 0.0000 0.0000
0.0000 8.0049 0.0000
0.0000 0.0000 8.0049
Y Lu
12 4
Cartesian
0.0000 0.0000 0.0000
0.0000 4.0024 4.0024
2.0012 2.0012 2.0012
2.0012 2.0012 6.0037
2.0012 6.0037 2.0012
2.0012 6.0037 6.0037
4.0024 0.0000 4.0024
4.0024 4.0024 0.0000
6.0037 2.0012 2.0012
6.0037 2.0012 6.0037
6.0037 6.0037 2.0012
6.0037 6.0037 6.0037
0.0000 0.0000 4.0024
0.0000 4.0024 0.0000
4.0024 0.0000 0.0000
4.0024 4.0024 4.0024

***

Entry 6:
TeAs2Cl | the Alexandria database | PBE-GGA | optimized geometry; total moment = 0.0 μB per formula unit; density of states at the Fermi level = 14.67 states/eV/cell; polymorph energy (0 for the lowest one) = 0.506 eV/atom; space-group type = No. 225
1.0
7.0360 0.0000 0.0000
0.0000 7.0360 0.0000
0.0000 0.0000 7.0360
Te As Cl
4 8 4
Cartesian
0.0000 0.0000 0.0000
0.0000 3.5180 3.5180
3.5180 0.0000 3.5180
3.5180 3.5180 0.0000
1.7590 1.7590 1.7590
1.7590 1.7590 5.2770
1.7590 5.2770 1.7590
1.7590 5.2770 5.2770
5.2770 1.7590 1.7590
5.2770 1.7590 5.2770
5.2770 5.2770 1.7590
5.2770 5.2770 5.2770
0.0000 0.0000 3.5180
0.0000 3.5180 0.0000
3.5180 0.0000 0.0000
3.5180 3.5180 3.5180

***

Entry 7:
TaIn2Mo | the Alexandria database | PBE-GGA | optimized geometry; ΔH_f (0 K) = 26.1 kJ/mol of atoms; total moment = 0.0 μB per formula unit; density of states at the Fermi level = 5.82 states/eV/cell; polymorph energy (0 for the lowest one) = 0.079 eV/atom; space-group type = No. 44
1.0
3.4948 0.0000 0.0000
0.0000 4.7520 0.0000
0.0000 0.0000 9.4094
Ta In Mo
2 4 2
Cartesian
0.0000 0.0000 0.0000
1.7474 2.3760 4.7047
0.0000 0.0000 5.0301
0.0000 2.3760 7.2120
1.7474 0.0000 2.5073
1.7474 2.3760 0.3254
0.0000 2.3760 2.7576
1.7474 0.0000 7.4623

***

Entry 8:
AcGa5Ru2 | the Alexandria database | PBE-GGA | optimized geometry; ΔH_f (0 K) = -41.3 kJ/mol of atoms; total moment = 0.0 μB per formula unit; density of states at the Fermi level = 7.72 states/eV/cell; space-group type = No. 71
1.0
4.1315 0.0000 0.0000
0.0000 7.1968 0.0000
0.0000 0.0000 10.3516
Ac Ga Ru
2 10 4
Cartesian
0.0000 0.0000 0.0000
2.0658 3.5984 5.1758
0.0000 1.3778 3.5828
0.0000 1.3778 6.7687
0.0000 3.5984 0.0000
0.0000 5.8190 3.5828
0.0000 5.8190 6.7687
2.0658 0.0000 5.1758
2.0658 2.2206 1.5929
2.0658 2.2206 8.7586
2.0658 4.9762 1.5929
2.0658 4.9762 8.7586
0.0000 3.5984 2.4177
0.0000 3.5984 7.9339
2.0658 0.0000 2.7581
2.0658 0.0000 7.5935